No. 1
First-principles (GGA-PBE) data for a relaxed KAgAsBr2 crystal, as listed in Alexandria.

Values from the calculation:
As for the energy relative to the lowest polymorph listed for this composition: 702.5 meV per atom. The total moment comes out at 3.088 μB per formula unit. As for the space group: P4/mmm (123). The raw formation energy is 0.37 eV per atom.

Lattice parameters (Å, degrees): 6.070 6.070 6.109 90.00 90.00 90.00
Site moments in Bohr magnetons follow the coordinates.
Sites, in units of the cell vectors:
K: 0.000 0.000 0.000  0.03
As: 0.000 0.000 0.500  1.19
Br: 0.000 0.500 0.000  0.14
Br: 0.500 0.000 0.000  0.14
Ag: 0.500 0.500 0.500  0.00



No. 2
First-principles (GGA-PBE) data for a relaxed KAgAsBr6 crystal, as listed in Alexandria.

Values from the calculation:
The total moment comes out at 1.063 μB per formula unit. As for the space group: P312 (149). The raw formation energy is -0.61 eV per atom.

Lattice parameters (Å, degrees): 7.211 7.118 7.118 120.00 90.00 90.00
Site moments in Bohr magnetons follow the coordinates.
Sites, in units of the cell vectors:
Br: 0.281 0.323 0.283  0.10
Br: 0.719 0.961 0.283  0.10
Br: 0.281 0.717 0.039  0.10
Br: 0.281 0.961 0.677  0.10
As: 0.500 0.000 0.000  -0.01
Br: 0.719 0.323 0.039  0.10
Ag: 0.500 0.667 0.333  0.27
Br: 0.719 0.717 0.677  0.10
K: 0.000 0.333 0.667  0.00



No. 3
First-principles (GGA-PBE) data for a relaxed LaAgAs2Br crystal, as listed in Alexandria.

Values from the calculation:
As for the energy relative to the lowest polymorph listed for this composition: 430.7 meV per atom. The total moment comes out at 1.031 μB per formula unit. As for the space group: P4/mmm (123). The raw formation energy is 0.19 eV per atom.

Lattice parameters (Å, degrees): 5.799 5.799 5.764 90.00 90.00 90.00
Site moments in Bohr magnetons follow the coordinates.
Sites, in units of the cell vectors:
As: 0.500 0.000 0.000  0.21
As: 0.000 0.500 0.000  0.21
Br: 0.000 0.000 0.500  0.06
Ag: 0.500 0.500 0.500  -0.01
La: 0.000 0.000 0.000  0.02



No. 4
First-principles (GGA-PBE) data for a relaxed LaAgAs2Br crystal, as listed in Alexandria.

Values from the calculation:
As for the energy relative to the lowest polymorph listed for this composition: 0.0 meV per atom. The total moment comes out at 0.000 μB per formula unit. As for the space group: P4/mmm (123). The raw formation energy is -0.24 eV per atom.

Lattice parameters (Å, degrees): 4.983 4.983 5.370 90.00 90.00 90.00
Sites, in units of the cell vectors:
La: 0.500 0.500 0.500
Br: 0.000 0.000 0.500
As: 0.500 0.000 0.000
Ag: 0.000 0.000 0.000
As: 0.000 0.500 0.000



No. 5
First-principles (GGA-PBE) data for a relaxed LiAgAsBr2 crystal, as listed in Alexandria.

Values from the calculation:
As for the energy relative to the lowest polymorph listed for this composition: 0.0 meV per atom. The total moment comes out at 1.919 μB per formula unit. As for the space group: P4/mmm (123). The raw formation energy is -0.01 eV per atom.

Lattice parameters (Å, degrees): 5.586 5.586 5.015 90.00 90.00 90.00
Site moments in Bohr magnetons follow the coordinates.
Sites, in units of the cell vectors:
Br: 0.500 0.000 0.000  0.09
Br: 0.000 0.500 0.000  0.09
As: 0.000 0.000 0.500  0.72
Li: 0.500 0.500 0.500  0.00
Ag: 0.000 0.000 0.000  0.08



No. 6
First-principles (GGA-PBE) data for a relaxed MgAgAsBr2 crystal, as listed in Alexandria.

Values from the calculation:
As for the energy relative to the lowest polymorph listed for this composition: 0.0 meV per atom. The total moment comes out at 1.839 μB per formula unit. As for the space group: P4/mmm (123). The raw formation energy is -0.01 eV per atom.

Lattice parameters (Å, degrees): 5.232 5.232 5.334 90.00 90.00 90.00
Site moments in Bohr magnetons follow the coordinates.
Sites, in units of the cell vectors:
Br: 0.500 0.000 0.000  0.12
Mg: 0.000 0.000 0.000  0.00
Br: 0.000 0.500 0.000  0.12
As: 0.000 0.000 0.500  0.65
Ag: 0.500 0.500 0.500  0.04



No. 7
First-principles (GGA-PBE) data for a relaxed MgAgAs2Br crystal, as listed in Alexandria.

Values from the calculation:
As for the energy relative to the lowest polymorph listed for this composition: 0.0 meV per atom. The total moment comes out at 0.130 μB per formula unit. As for the space group: P4/mmm (123). The raw formation energy is 0.45 eV per atom.

Lattice parameters (Å, degrees): 5.043 5.043 5.250 90.00 90.00 90.00
Sites, in units of the cell vectors:
As: 0.000 0.500 0.000
Ag: 0.500 0.500 0.500
As: 0.500 0.000 0.000
Br: 0.000 0.000 0.500
Mg: 0.000 0.000 0.000



No. 8
First-principles (GGA-PBE) data for a relaxed Ag2MoAsBr crystal, as listed in Alexandria.

Values from the calculation:
The total moment comes out at 5.251 μB per formula unit. As for the space group: P4/mmm (123). The raw formation energy is 1.04 eV per atom.

Lattice parameters (Å, degrees): 4.876 5.805 4.876 90.00 90.00 90.00
Site moments in Bohr magnetons follow the coordinates.
Sites, in units of the cell vectors:
Ag: 0.500 0.000 0.000  0.04
As: 0.000 0.000 0.000  0.04
Mo: 0.500 0.500 0.500  3.98
Br: 0.000 0.500 0.000  0.02
Ag: 0.000 0.000 0.500  0.04



No. 9
First-principles (GGA-PBE) data for a relaxed AgMoAs2Br crystal, as listed in Alexandria.

Values from the calculation:
As for the energy relative to the lowest polymorph listed for this composition: 0.0 meV per atom. The total moment comes out at 0.168 μB per formula unit. As for the space group: P4/mmm (123). The raw formation energy is 0.45 eV per atom.

Lattice parameters (Å, degrees): 4.820 4.820 5.505 90.00 90.00 90.00
Site moments in Bohr magnetons follow the coordinates.
Sites, in units of the cell vectors:
Mo: 0.000 0.000 0.000  0.19
Br: 0.000 0.000 0.500  0.01
As: 0.000 0.500 0.000  -0.02
As: 0.500 0.000 0.000  -0.02
Ag: 0.500 0.500 0.500  0.00



No. 10
First-principles (GGA-PBE) data for a relaxed AgAs2BrN crystal, as listed in Alexandria.

Values from the calculation:
As for the energy relative to the lowest polymorph listed for this composition: 0.0 meV per atom. The total moment comes out at 0.408 μB per formula unit. As for the space group: P4/mmm (123). The raw formation energy is 0.79 eV per atom.

Lattice parameters (Å, degrees): 4.102 4.102 7.785 90.00 90.00 90.00
Site moments in Bohr magnetons follow the coordinates.
Sites, in units of the cell vectors:
As: 0.000 0.500 0.000  0.06
N: 0.000 0.000 0.000  0.14
As: 0.500 0.000 0.000  0.06
Br: 0.000 0.000 0.500  0.00
Ag: 0.500 0.500 0.500  0.00



No. 11
First-principles (GGA-PBE) data for a relaxed AgAs2BrN crystal, as listed in Alexandria.

Values from the calculation:
As for the energy relative to the lowest polymorph listed for this composition: 878.0 meV per atom. The total moment comes out at 1.312 μB per formula unit. As for the space group: P4/mmm (123). The raw formation energy is 1.67 eV per atom.

Lattice parameters (Å, degrees): 5.050 5.050 5.501 90.00 90.00 90.00
Site moments in Bohr magnetons follow the coordinates.
Sites, in units of the cell vectors:
As: 0.500 0.000 0.000  -0.34
As: 0.000 0.500 0.000  -0.34
Ag: 0.000 0.000 0.000  -0.03
N: 0.500 0.500 0.500  1.82
Br: 0.000 0.000 0.500  0.02



No. 12
First-principles (GGA-PBE) data for a relaxed NaAgAs2Br crystal, as listed in Alexandria.

Values from the calculation:
As for the energy relative to the lowest polymorph listed for this composition: 0.0 meV per atom. The total moment comes out at 1.993 μB per formula unit. As for the space group: P4/mmm (123). The raw formation energy is 0.22 eV per atom.

Lattice parameters (Å, degrees): 4.954 4.954 6.290 90.00 90.00 90.00
Site moments in Bohr magnetons follow the coordinates.
Sites, in units of the cell vectors:
Br: 0.000 0.000 0.500  0.14
As: 0.000 0.500 0.000  0.39
Ag: 0.000 0.000 0.000  0.11
Na: 0.500 0.500 0.500  0.00
As: 0.500 0.000 0.000  0.39



No. 13
First-principles (GGA-PBE) data for a relaxed NaAgAsBr6 crystal, as listed in Alexandria.

Values from the calculation:
The total moment comes out at 1.005 μB per formula unit. As for the space group: P312 (149). The raw formation energy is -0.55 eV per atom.

Lattice parameters (Å, degrees): 6.624 6.995 6.995 120.00 90.00 90.00
Site moments in Bohr magnetons follow the coordinates.
Sites, in units of the cell vectors:
Na: 0.000 0.333 0.667  0.00
Br: 0.264 0.976 0.677  0.10
Br: 0.264 0.323 0.299  0.10
As: 0.500 0.000 0.000  -0.01
Br: 0.736 0.701 0.677  0.10
Br: 0.264 0.701 0.024  0.10
Br: 0.736 0.976 0.299  0.10
Ag: 0.500 0.667 0.333  0.26
Br: 0.736 0.323 0.024  0.10



| no. | VASP energy (eV per cell) |
| --- | --- |
| 1 | -10.08 |
| 2 | -24.12 |
| 3 | -17.79 |
| 4 | -19.94 |
| 5 | -12.82 |
| 6 | -12.48 |
| 7 | -13.14 |
| 8 | -17.67 |
| 9 | -22.40 |
| 10 | -18.18 |
| 11 | -13.79 |
| 12 | -14.03 |
| 13 | -23.77 |